1.
First-principles (GGA-PBE) data for NaPH3C2N3O4 after structural relaxation, as listed in the Alexandria database.

Values from the calculation:
Symmetry: No. 14
Calculated total energy (eV per atom): -6.76
Crystal system: monoclinic

Cell lengths 6.982, 12.376, 8.588 Å; angles 90.00, 125.68, 90.00 degrees
Sites, in units of the cell vectors:
Na: 0.149 0.043 0.394
Na: 0.149 0.457 0.894
Na: 0.851 0.543 0.106
Na: 0.851 0.957 0.606
P: 0.315 0.579 0.609
P: 0.315 0.921 0.109
P: 0.685 0.079 0.891
P: 0.685 0.421 0.391
H: 0.010 0.691 0.566
H: 0.010 0.809 0.066
H: 0.350 0.079 0.897
H: 0.350 0.421 0.397
H: 0.492 0.106 0.361
H: 0.492 0.394 0.861
H: 0.508 0.606 0.139
H: 0.508 0.894 0.639
H: 0.650 0.579 0.603
H: 0.650 0.921 0.103
H: 0.990 0.191 0.934
H: 0.990 0.309 0.434
C: 0.235 0.701 0.081
C: 0.235 0.799 0.581
C: 0.399 0.238 0.879
C: 0.399 0.262 0.379
C: 0.601 0.738 0.621
C: 0.601 0.762 0.121
C: 0.765 0.201 0.419
C: 0.765 0.299 0.919
N: 0.167 0.696 0.581
N: 0.167 0.804 0.081
N: 0.455 0.686 0.120
N: 0.455 0.814 0.620
N: 0.457 0.132 0.886
N: 0.457 0.368 0.386
N: 0.543 0.632 0.614
N: 0.543 0.868 0.114
N: 0.545 0.186 0.380
N: 0.545 0.314 0.880
N: 0.833 0.196 0.919
N: 0.833 0.304 0.419
O: 0.111 0.620 0.050
O: 0.111 0.880 0.550
O: 0.175 0.508 0.435
O: 0.175 0.992 0.935
O: 0.225 0.232 0.374
O: 0.225 0.268 0.874
O: 0.403 0.529 0.801
O: 0.403 0.971 0.301
O: 0.597 0.029 0.699
O: 0.597 0.471 0.199
O: 0.775 0.732 0.126
O: 0.775 0.768 0.626
O: 0.825 0.008 0.065
O: 0.825 0.492 0.565
O: 0.889 0.120 0.450
O: 0.889 0.380 0.950

2.
First-principles (GGA-PBE) data for Na2Tl6Cd after structural relaxation, as listed in the Alexandria database.

Values from the calculation:
Symmetry: No. 136
Calculated formation energy (eV per atom): -0.06
Crystal system: tetragonal
Energy above the most stable polymorph in this dataset (eV/f.u.): 0.00

Cell lengths 10.274, 10.274, 4.877 Å; angles 90.00, 90.00, 90.00 degrees
Sites, in units of the cell vectors:
Na: 0.175 0.175 0.000
Na: 0.325 0.675 0.500
Na: 0.675 0.325 0.500
Na: 0.825 0.825 0.000
Tl: 0.008 0.332 0.500
Tl: 0.152 0.848 0.000
Tl: 0.168 0.508 0.000
Tl: 0.332 0.008 0.500
Tl: 0.348 0.348 0.500
Tl: 0.492 0.832 0.000
Tl: 0.508 0.168 0.000
Tl: 0.652 0.652 0.500
Tl: 0.668 0.992 0.500
Tl: 0.832 0.492 0.000
Tl: 0.848 0.152 0.000
Tl: 0.992 0.668 0.500
Cd: 0.000 0.000 0.500
Cd: 0.500 0.500 0.000

3.
First-principles (GGA-PBE) data for ZrSnO2 after structural relaxation, as listed in the Alexandria database.

Values from the calculation:
Energy relative to the elements, uncorrected (eV per atom): -1.32
Symmetry: No. 166
Crystal system: trigonal

Cell lengths 7.177, 7.177, 7.177 Å; angles 28.58, 28.58, 28.58 degrees
Sites, in units of the cell vectors:
Zr: 0.000 0.000 0.000
Sn: 0.500 0.500 0.500
O: 0.098 0.098 0.098
O: 0.902 0.902 0.902

4.
First-principles (GGA-PBE) data for GePAu3 after structural relaxation, as listed in the Alexandria database.

Values from the calculation:
Symmetry: No. 221
Calculated formation energy (eV per atom): 0.41
Crystal system: cubic
Energy above the most stable polymorph in this dataset (eV/f.u.): 0.00

Cell lengths 4.777, 4.777, 4.777 Å; angles 90.00, 90.00, 90.00 degrees
Sites, in units of the cell vectors:
Ge: 0.000 0.000 0.000
P: 0.500 0.500 0.500
Au: 0.000 0.500 0.500
Au: 0.500 0.000 0.500
Au: 0.500 0.500 0.000

For the records above, the corresponding D(E_F) values read 0.000; 0.414; 0.215; 0.500 states/eV per atom.